PBE-GGA CoPSN, relaxed; total moment = 0.9 μB per cell; energy relative to the elements, uncorrected = 0.02 eV/atom; polymorph energy (0 for the lowest one) = 57 meV per atom; V = 54.7 Å³/cell; electronic total energy = -6.218 eV/atom
1.0
4.245 0.000 0.000
0.000 2.656 0.000
-1.381 0.000 4.849
Co P S N
1 1 1 1
direct
0.000 0.000 0.000 Co
0.273 0.500 0.755 P
0.926 0.500 0.325 S
0.528 0.000 0.787 N

PBE-GGA CoPSN, relaxed; total moment = 0.0 μB per cell; energy relative to the elements, uncorrected = 0.19 eV/atom; polymorph energy (0 for the lowest one) = 219 meV per atom; V = 53.5 Å³/cell; electronic total energy = -6.055 eV/atom
1.0
3.641 0.000 0.000
1.644 3.285 0.000
0.517 0.862 4.470
Co P S N
1 1 1 1
direct
0.000 0.000 0.000 Co
0.351 0.285 0.132 P
0.871 0.617 0.690 S
0.185 0.586 0.382 N

PBE-GGA CoPSN, relaxed; total moment = 0.4 μB per cell; energy relative to the elements, uncorrected = 0.03 eV/atom; polymorph energy (0 for the lowest one) = 67 meV per atom; V = 48.9 Å³/cell; electronic total energy = -6.207 eV/atom
1.0
3.555 -1.386 0.000
3.555 1.386 0.000
-1.000 0.000 4.965
Co P S N
1 1 1 1
direct
0.000 0.000 0.000 Co
0.247 0.247 0.331 P
0.252 0.252 0.781 S
0.882 0.882 0.321 N